(1)
Entry from Alexandria via LeMat-Bulk: a relaxed structure of ZrPa2Tc (GGA-PBE).

Unit cell a=3.558 b=3.558 c=7.201 alpha=90.00 beta=90.00 gamma=90.00
Atoms (fractional coordinates):
Zr (0.000, 0.000, 0.000)
Pa (0.500, 0.500, 0.294)
Pa (0.500, 0.500, 0.706)
Tc (0.000, 0.000, 0.500)

Space-group type = P4/mmm, No. 123
Magnetic moment = 0.00 μB per formula unit
Energy relative to the elements = 65 meV per atom

---

(2)
Entry from Alexandria via LeMat-Bulk: a relaxed structure of NbGa2Mo2 (GGA-PBE).

Unit cell a=7.744 b=7.744 c=2.766 alpha=90.00 beta=90.00 gamma=90.00
Atoms (fractional coordinates):
Nb (0.000, 0.000, 0.000)
Nb (0.500, 0.500, 0.000)
Ga (0.179, 0.321, 0.500)
Ga (0.321, 0.821, 0.500)
Ga (0.679, 0.179, 0.500)
Ga (0.821, 0.679, 0.500)
Mo (0.119, 0.619, 0.000)
Mo (0.381, 0.119, 0.000)
Mo (0.619, 0.881, 0.000)
Mo (0.881, 0.381, 0.000)

Space-group type = P4/mbm, No. 127
Magnetic moment = 0.04 μB per formula unit
Energy relative to the elements = 178 meV per atom

---

Polymorph energy (0 for the lowest one) values (in meV/atom) by entry order: 0, 290.